DFT (PBE with a Hubbard U) results for crystalline Li6V3P8O29 at its relaxed geometry.

```
data_Li6V3P8O29
_chemical_formula_sum 'Li12 V6 P16 O58'
_symmetry_space_group_name_H-M 'P 1'
_symmetry_Int_Tables_number 1
_cell_length_a 9.828
_cell_length_b 9.828
_cell_length_c 14.194
_cell_angle_alpha 88.96
_cell_angle_beta 88.96
_cell_angle_gamma 59.98
loop_
_symmetry_equiv_pos_as_xyz
'x,y,z'
loop_
_atom_site_label
_atom_site_type_symbol
_atom_site_fract_x
_atom_site_fract_y
_atom_site_fract_z
_atom_site_occupancy
Li1 Li 0.791 0.894 0.059 1
Li2 Li 0.894 0.791 0.559 1
Li3 Li 0.349 0.903 0.552 1
Li4 Li 0.306 0.778 0.062 1
Li5 Li 0.903 0.349 0.052 1
Li6 Li 0.778 0.306 0.562 1
Li7 Li 0.135 0.625 0.960 1
Li8 Li 0.625 0.135 0.460 1
Li9 Li 0.099 0.209 0.439 1
Li10 Li 0.209 0.099 0.939 1
Li11 Li 0.806 0.172 0.951 1
Li12 Li 0.172 0.806 0.451 1
V1 V 0.446 0.548 0.251 1
V2 V 0.548 0.446 0.751 1
V3 V 0.987 0.578 0.739 1
V4 V 0.012 0.425 0.262 1
V5 V 0.578 0.987 0.239 1
V6 V 0.425 0.012 0.762 1
P1 P 0.764 0.922 0.844 1
P2 P 0.922 0.764 0.344 1
P3 P 0.326 0.899 0.334 1
P4 P 0.686 0.643 0.135 1
P5 P 0.643 0.686 0.635 1
P6 P 0.305 0.775 0.847 1
P7 P 0.215 0.705 0.663 1
P8 P 0.899 0.326 0.834 1
P9 P 0.102 0.666 0.164 1
P10 P 0.775 0.305 0.347 1
P11 P 0.705 0.215 0.163 1
P12 P 0.355 0.310 0.365 1
P13 P 0.310 0.355 0.865 1
P14 P 0.666 0.102 0.664 1
P15 P 0.087 0.233 0.656 1
P16 P 0.233 0.087 0.156 1
O1 O 0.740 0.010 0.575 1
O2 O 0.749 0.890 0.325 1
O3 O 0.010 0.740 0.075 1
O4 O 0.890 0.749 0.825 1
O5 O 0.598 0.942 0.849 1
O6 O 0.675 0.806 0.148 1
O7 O 0.483 0.891 0.318 1
O8 O 0.238 0.003 0.067 1
O9 O 0.316 0.927 0.848 1
O10 O 0.806 0.675 0.648 1
O11 O 0.942 0.598 0.349 1
O12 O 0.521 0.820 0.703 1
O13 O 0.735 0.580 0.037 1
O14 O 0.580 0.735 0.537 1
O15 O 0.526 0.659 0.169 1
O16 O 0.891 0.483 0.818 1
O17 O 0.820 0.521 0.203 1
O18 O 0.337 0.737 0.336 1
O19 O 0.190 0.799 0.760 1
O20 O 0.220 0.804 0.582 1
O21 O 0.233 0.756 0.937 1
O22 O 0.467 0.630 0.826 1
O23 O 0.659 0.526 0.669 1
O24 O 0.264 0.653 0.158 1
O25 O 0.630 0.467 0.326 1
O26 O 0.927 0.316 0.348 1
O27 O 0.016 0.778 0.254 1
O28 O 0.982 0.800 0.431 1
O29 O 0.003 0.238 0.567 1
O30 O 0.068 0.686 0.655 1
O31 O 0.366 0.545 0.671 1
O32 O 0.737 0.337 0.836 1
O33 O 0.340 0.467 0.323 1
O34 O 0.545 0.366 0.171 1
O35 O 0.804 0.220 0.082 1
O36 O 0.756 0.233 0.437 1
O37 O 0.799 0.190 0.260 1
O38 O 0.653 0.264 0.658 1
O39 O 0.173 0.501 0.815 1
O40 O 0.115 0.506 0.185 1
O41 O 0.467 0.340 0.823 1
O42 O 0.291 0.387 0.969 1
O43 O 0.387 0.291 0.469 1
O44 O 0.501 0.173 0.315 1
O45 O 0.087 0.389 0.670 1
O46 O 0.202 0.306 0.339 1
O47 O 0.686 0.068 0.155 1
O48 O 0.778 0.016 0.754 1
O49 O 0.800 0.982 0.931 1
O50 O 0.506 0.115 0.685 1
O51 O 0.306 0.202 0.839 1
O52 O 0.389 0.087 0.170 1
O53 O 0.089 0.253 0.161 1
O54 O 0.983 0.239 0.924 1
O55 O 0.993 0.215 0.745 1
O56 O 0.253 0.089 0.661 1
O57 O 0.239 0.983 0.424 1
O58 O 0.215 0.993 0.245 1
```

- Space-group type: No. 9
- V: 593.4 Å³/f.u.
- Total DFT energy (no corrections): -323.13 eV per formula unit
- M_tot: 5.98 Bohr magnetons per cell
- ρ: 2536 kg/m³
- Relative energy among the computed polymorphs: 0 meV/atom